Entry 1:
An optimized crystal structure of CuAu. Source: Alexandria via LeMat-Bulk, functional PBE.

## Properties
As for the total magnetic moment: 0.000 μB per atom. As for the volume: 128 Å³/cell. The final energy comes out at -29.01 eV for the cell shown. As for the energy of formation from the pure elements: 0.0607 eV/atom.

```
CuAu
1.0
-2.786 -1.992 -2.464
2.663 -2.225 2.400
-5.529 0.068 6.196
Cu Au
4 4
Cartesian
-4.147 0.051 4.647
-1.382 0.017 1.549
-0.536 -2.130 2.328
-5.116 -2.019 3.804
-4.220 -2.085 6.457
-3.272 -2.042 1.738
-1.432 -2.064 -0.325
-2.380 -2.108 4.395
```

***

Entry 2:
An optimized crystal structure of InSb2AuO. Source: Alexandria via LeMat-Bulk, functional PBE.

## Properties
As for the total magnetic moment: 0.000 μB per atom. As for the volume: 108 Å³/cell. The final energy comes out at -19.46 eV for the cell shown. The calculation puts the formation energy (no corrections) at -0.049 eV per atom.

```
InSb2AuO
1.0
4.715 0.000 0.000
0.000 4.844 0.000
0.000 0.000 4.715
Sb Au O In
2 1 1 1
Cartesian
0.000 0.000 2.358
2.358 0.000 0.000
2.358 2.422 2.358
0.000 0.000 0.000
0.000 2.422 0.000
```